# B4H5 SCAN single point on PBEsol structure
data_B4H5
_chemical_formula_sum 'B64 H80'
_symmetry_space_group_name_H-M 'P 1 21/c 1'
_symmetry_Int_Tables_number 14
_cell_length_a 5.681
_cell_length_b 13.223
_cell_length_c 16.417
_cell_angle_alpha 90.00
_cell_angle_beta 99.16
_cell_angle_gamma 90.00
loop_
_symmetry_equiv_pos_as_xyz
'x,y,z'
'-x,-y,-z'
'-x,y+1/2,-z+1/2'
'x,-y+1/2,z+1/2'
loop_
_atom_site_label
_atom_site_type_symbol
_atom_site_fract_x
_atom_site_fract_y
_atom_site_fract_z
B1 B 0.004 0.195 0.314
B2 B 0.033 0.600 0.260
B3 B 0.050 0.522 0.780
B4 B 0.050 0.570 0.155
B5 B 0.073 0.183 0.009
B6 B 0.175 0.137 0.403
B7 B 0.193 0.194 0.503
B8 B 0.203 0.187 0.240
B9 B 0.207 0.501 0.881
B10 B 0.210 0.102 0.948
B11 B 0.225 0.042 0.215
B12 B 0.303 0.220 0.343
B13 B 0.354 0.535 0.798
B14 B 0.375 0.194 0.007
B15 B 0.418 0.173 0.902
B16 B 0.428 0.201 0.444
H1 H 0.018 0.634 0.561
H2 H 0.022 0.727 0.025
H3 H 0.036 0.655 0.439
H4 H 0.073 0.094 0.741
H5 H 0.142 0.739 0.684
H6 H 0.190 0.142 0.563
H7 H 0.193 0.607 0.318
H8 H 0.210 0.012 0.955
H9 H 0.218 0.558 0.939
H10 H 0.219 0.129 0.868
H11 H 0.219 0.244 0.185
H12 H 0.225 0.550 0.126
H13 H 0.243 0.022 0.145
H14 H 0.385 0.659 0.036
H15 H 0.414 0.627 0.615
H16 H 0.423 0.185 0.286
H17 H 0.429 0.014 0.370
H18 H 0.446 0.039 0.255
H19 H 0.479 0.607 0.795
H20 H 0.479 0.672 0.435
# - Calculated total energy: -0.391 Ry per atom
# - Crystal system: monoclinic


# B2H5 SCAN single point on PBEsol structure
data_B2H5
_chemical_formula_sum 'B16 H40'
_symmetry_space_group_name_H-M 'P 1 21/c 1'
_symmetry_Int_Tables_number 14
_cell_length_a 5.561
_cell_length_b 9.734
_cell_length_c 8.539
_cell_angle_alpha 90.00
_cell_angle_beta 111.22
_cell_angle_gamma 90.00
loop_
_symmetry_equiv_pos_as_xyz
'x,y,z'
'-x,-y,-z'
'-x,y+1/2,-z+1/2'
'x,-y+1/2,z+1/2'
loop_
_atom_site_label
_atom_site_type_symbol
_atom_site_fract_x
_atom_site_fract_y
_atom_site_fract_z
B1 B 0.064 0.204 0.386
B2 B 0.100 0.583 0.279
B3 B 0.254 0.732 0.270
B4 B 0.404 0.571 0.247
H1 H 0.061 0.562 0.406
H2 H 0.086 0.179 0.530
H3 H 0.106 0.067 0.349
H4 H 0.137 0.701 0.635
H5 H 0.204 0.021 0.739
H6 H 0.236 0.231 0.867
H7 H 0.311 0.695 0.891
H8 H 0.403 0.540 0.109
H9 H 0.415 0.035 0.133
H10 H 0.447 0.712 0.225
# - Calculated total energy: -0.343 Ry per atom
# - Crystal system: monoclinic